(1)
{"formula": "Pm2ScCd", "functional": "PBE", "state": "optimized geometry", "cell": [[3.681, 0.000, 0.000], [0.000, 3.681, 0.000], [0.000, 0.000, 8.526]], "species": ["Pm", "Pm", "Sc", "Cd"], "fractional_positions": [[0.000, 0.000, 0.243], [0.000, 0.000, 0.757], [0.500, 0.500, 0.500], [0.500, 0.500, 0.000]], "spacegroup": "No. 123", "e_above_lowest_polymorph_mev_per_atom": 0, "n_ef_per_ev_cell": 5.59}


(2)
{"formula": "Pm2Sc2Cd3", "functional": "PBE", "state": "optimized geometry", "cell": [[2.342, -11.723, 0.000], [2.342, 11.723, 0.000], [0.000, 0.000, 3.226]], "species": ["Pm", "Pm", "Sc", "Sc", "Cd", "Cd", "Cd"], "fractional_positions": [[0.076, 0.924, 0.000], [0.924, 0.076, 0.000], [0.210, 0.790, 0.000], [0.790, 0.210, 0.000], [0.340, 0.660, 0.500], [0.500, 0.500, 0.500], [0.660, 0.340, 0.500]], "spacegroup": "No. 65", "n_ef_per_ev_cell": 6.82}


(3)
{"formula": "Pm2ScCd3", "functional": "PBE", "state": "optimized geometry", "cell": [[3.604, 0.000, 0.000], [0.000, 3.604, 0.000], [0.000, 0.000, 11.998]], "species": ["Pm", "Pm", "Sc", "Cd", "Cd", "Cd"], "fractional_positions": [[0.000, 0.000, 0.180], [0.000, 0.000, 0.820], [0.000, 0.000, 0.500], [0.500, 0.500, 0.000], [0.500, 0.500, 0.361], [0.500, 0.500, 0.639]], "spacegroup": "No. 123", "n_ef_per_ev_cell": 6.84}


(4)
{"formula": "PmScCd", "functional": "PBE", "state": "optimized geometry", "cell": [[3.408, 0.000, 0.000], [0.000, 3.409, 0.000], [-0.009, 0.000, 13.854]], "species": ["Pm", "Pm", "Sc", "Sc", "Cd", "Cd"], "fractional_positions": [[0.249, 0.250, 0.239], [0.751, 0.750, 0.761], [0.251, 0.250, 0.579], [0.749, 0.750, 0.421], [0.251, 0.250, 0.930], [0.749, 0.750, 0.070]], "spacegroup": "No. 11", "e_above_lowest_polymorph_mev_per_atom": 91, "n_ef_per_ev_cell": 7.40}


(5)
{"formula": "PmScCd", "functional": "PBE", "state": "optimized geometry", "cell": [[-1.742, 1.742, 6.548], [1.742, -1.742, 6.548], [1.742, 1.742, -6.548]], "species": ["Pm", "Sc", "Cd"], "fractional_positions": [[0.000, 0.000, 0.000], [0.317, 0.317, 0.000], [0.678, 0.678, 0.000]], "spacegroup": "No. 107", "e_above_lowest_polymorph_mev_per_atom": 0, "n_ef_per_ev_cell": 3.77}


(6)
{"formula": "Pm2ScCd", "functional": "PBE", "state": "optimized geometry", "cell": [[3.075, -1.764, 0.000], [3.075, 1.764, 0.000], [-2.009, 0.000, 10.825]], "species": ["Pm", "Pm", "Sc", "Cd"], "fractional_positions": [[0.250, 0.250, 0.247], [0.750, 0.750, 0.753], [0.000, 0.000, 0.500], [0.500, 0.500, 0.000]], "spacegroup": "No. 12", "e_above_lowest_polymorph_mev_per_atom": 98, "n_ef_per_ev_cell": 5.07}


(7)
{"formula": "PmSc3Cd2", "functional": "PBE", "state": "optimized geometry", "cell": [[3.512, 0.000, 0.000], [0.000, 3.512, 0.000], [0.000, 0.000, 11.931]], "species": ["Pm", "Sc", "Sc", "Sc", "Cd", "Cd"], "fractional_positions": [[0.000, 0.000, 0.000], [0.500, 0.500, 0.200], [0.500, 0.500, 0.500], [0.500, 0.500, 0.800], [0.000, 0.000, 0.349], [0.000, 0.000, 0.651]], "spacegroup": "No. 123", "n_ef_per_ev_cell": 7.71}


(8)
{"formula": "PmSc2Cd2", "functional": "PBE", "state": "optimized geometry", "cell": [[-2.381, 2.381, 11.857], [2.381, -2.381, 11.857], [2.381, 2.381, -11.857]], "species": ["Pm", "Pm", "Sc", "Sc", "Sc", "Sc", "Cd", "Cd", "Cd", "Cd"], "fractional_positions": [[0.127, 0.127, 0.000], [0.873, 0.873, 0.000], [0.250, 0.750, 0.500], [0.429, 0.429, 0.000], [0.571, 0.571, 0.000], [0.750, 0.250, 0.500], [0.000, 0.500, 0.500], [0.316, 0.316, 0.000], [0.500, 0.000, 0.500], [0.684, 0.684, 0.000]], "spacegroup": "No. 139", "e_above_lowest_polymorph_mev_per_atom": 27, "n_ef_per_ev_cell": 7.45}


(9)
{"formula": "Pm4ScCd2", "functional": "PBE", "state": "optimized geometry", "cell": [[2.760, 1.593, 8.640], [-2.760, 1.593, 8.640], [0.000, -3.186, 8.640]], "species": ["Pm", "Pm", "Pm", "Pm", "Sc", "Cd", "Cd"], "fractional_positions": [[0.130, 0.130, 0.130], [0.266, 0.266, 0.266], [0.734, 0.734, 0.734], [0.870, 0.870, 0.870], [0.500, 0.500, 0.500], [0.388, 0.388, 0.388], [0.612, 0.612, 0.612]], "spacegroup": "No. 166", "n_ef_per_ev_cell": 10.10}


(10)
{"formula": "Pm6Sc2Cd", "functional": "PBE", "state": "optimized geometry", "cell": [[10.271, 0.000, 0.000], [0.000, 10.271, 0.000], [0.000, 0.000, 5.274]], "species": ["Pm", "Pm", "Pm", "Pm", "Pm", "Pm", "Pm", "Pm", "Pm", "Pm", "Pm", "Pm", "Sc", "Sc", "Sc", "Sc", "Cd", "Cd"], "fractional_positions": [[0.030, 0.323, 0.000], [0.132, 0.868, 0.500], [0.177, 0.530, 0.500], [0.323, 0.030, 0.000], [0.368, 0.368, 0.000], [0.470, 0.823, 0.500], [0.530, 0.177, 0.500], [0.632, 0.632, 0.000], [0.677, 0.970, 0.000], [0.823, 0.470, 0.500], [0.868, 0.132, 0.500], [0.970, 0.677, 0.000], [0.202, 0.202, 0.500], [0.298, 0.702, 0.000], [0.702, 0.298, 0.000], [0.798, 0.798, 0.500], [0.000, 0.000, 0.000], [0.500, 0.500, 0.500]], "spacegroup": "No. 136", "n_ef_per_ev_cell": 31.01}


Energy of formation / eV per formula unit: -0.45; -1.12; -1.78; -0.24; -0.52; -0.06; -1.02; -0.25; 0.60; 0.03
Total magnetic moment / μB per atom: 0.14; 0.00; 0.09; 0.00; 0.17; 0.00; 0.00; 0.00; 0.00; 0.00
Electronic total energy / eV per atom: -4.3000; -3.7184; -3.3923; -4.0807; -4.1720; -4.2022; -4.4323; -3.8996; -3.7954; -4.6730